Entry 1:
Dy2Al2Ge2C: optimized geometry, PBE-GGA.

Properties
- calculated total energy (eV/atom) = -5.5291
- energy of formation from the pure elements (meV/atom) = -508
- V (A^3/atom) = 18.27
- density of states at the Fermi level (states/eV/atom) = 0.192
- M_tot (μB per formula unit) = 0.00

Unit cell a=4.1455 b=4.1455 c=8.0000 alpha=105.02 beta=105.02 gamma=90.00
Fractional coordinates of all 7 atoms:
1 Dy 0.8394 0.8394 0.6788
2 Dy 0.1606 0.1606 0.3212
3 Al 0.0000 0.5000 0.0000
4 Al 0.5000 0.0000 0.0000
5 Ge 0.6321 0.6321 0.2642
6 Ge 0.3679 0.3679 0.7358
7 C 0.0000 0.0000 0.0000


Entry 2:
RbPaTaO6: optimized geometry, PBE-GGA.

Properties
- calculated total energy (eV/atom) = -8.5511
- V (A^3/atom) = 18.69
- formation energy without anion corrections (kcal/mol of atoms) = -63.79
- density of states at the Fermi level (states/eV/atom) = 0.693
- M_tot (μB per formula unit) = 0.76

Unit cell a=8.0288 b=7.6400 c=7.7970 alpha=119.34 beta=120.99 gamma=90.00
Each line ends with the local moment (μB).
Fractional coordinates of all 18 atoms:
1 O 0.8005 0.6712 0.2499  0.11
2 O 0.5506 0.9213 0.7501  0.11
3 O 0.4494 0.6712 0.2499  0.11
4 O 0.8229 0.0729 0.6458  0.13
5 O 0.5506 0.3288 0.7501  0.11
6 O 0.5475 0.2975 0.0949  0.09
7 O 0.1995 0.3288 0.7501  0.11
8 O 0.1771 0.9271 0.3542  0.13
9 O 0.4494 0.0787 0.2499  0.11
10 O 0.1995 0.9213 0.7501  0.11
11 O 0.4525 0.7025 0.9051  0.09
12 O 0.8005 0.0787 0.2499  0.11
13 Ta 0.5000 0.5000 0.0000  -0.03
14 Ta 0.5000 0.0000 0.0000  -0.03
15 Pa 0.0000 0.0000 0.5000  0.03
16 Pa 0.5000 0.0000 0.5000  0.03
17 Rb 0.1604 0.4104 0.3209  0.00
18 Rb 0.8396 0.5896 0.6791  0.00


Entry 3:
La2MgCrN: optimized geometry, PBE-GGA.

Properties
- calculated total energy (eV/atom) = -6.3361
- V (A^3/atom) = 22.28
- formation energy without anion corrections (kcal/mol of atoms) = -10.53
- density of states at the Fermi level (states/eV/atom) = 0.778
- M_tot (μB per formula unit) = 1.80

Unit cell a=5.4040 b=5.4040 c=3.8141 alpha=90.00 beta=90.00 gamma=90.00
Each line ends with the local moment (μB).
Fractional coordinates of all 5 atoms:
1 N 0.0000 0.0000 0.0000  -0.12
2 La 0.5000 0.0000 0.0000  -0.09
3 La 0.0000 0.5000 0.0000  -0.09
4 Mg 0.5000 0.5000 0.5000  -0.02
5 Cr 0.0000 0.0000 0.5000  2.26


Entry 4:
Ti2SiC: optimized geometry, PBE-GGA.

Properties
- calculated total energy (eV/atom) = -8.3100
- V (A^3/atom) = 13.13
- formation energy without anion corrections (kcal/mol of atoms) = -16.16
- density of states at the Fermi level (states/eV/atom) = 0.510
- M_tot (μB per formula unit) = 0.00

Unit cell a=3.0679 b=3.0566 c=6.7281 alpha=103.63 beta=90.00 gamma=120.12
Fractional coordinates of all 4 atoms:
1 C 0.0000 0.5000 0.5000
2 Ti 0.2698 0.0396 0.3185
3 Ti 0.7302 0.9604 0.6815
4 Si 0.5000 0.5000 0.0000


Entry 5:
Nb2V2W5: optimized geometry, PBE-GGA.

Properties
- calculated total energy (eV/atom) = -10.7530
- energy of formation from the pure elements (meV/atom) = 707
- V (A^3/atom) = 17.39
- density of states at the Fermi level (states/eV/atom) = 0.883
- M_tot (μB per formula unit) = 0.00

Unit cell a=6.4739 b=7.3060 c=8.2232 alpha=116.37 beta=113.18 gamma=90.00
Fractional coordinates of all 18 atoms:
1 V 0.2381 0.8751 0.7338
2 V 0.5043 0.1249 0.2662
3 V 0.0043 0.6413 0.2662
4 V 0.7381 0.3587 0.7338
5 W 0.9225 0.0543 0.5000
6 W 0.7418 0.8650 0.1068
7 W 0.6350 0.1350 0.8932
8 W 0.8231 0.3428 0.2857
9 W 0.5374 0.6572 0.7143
10 W 0.1350 0.2583 0.8932
11 W 0.0374 0.5571 0.7143
12 W 0.2418 0.7417 0.1068
13 W 0.3231 0.4429 0.2857
14 W 0.4225 0.9457 0.5000
15 Nb 0.0182 0.0000 0.0000
16 Nb 0.7436 0.7352 0.5000
17 Nb 0.2436 0.2648 0.5000
18 Nb 0.5182 0.5000 0.0000


Entry 6:
Ca2SbPb: optimized geometry, PBE-GGA.

Properties
- calculated total energy (eV/atom) = -3.3852
- V (A^3/atom) = 32.19
- formation energy without anion corrections (kcal/mol of atoms) = -9.84
- density of states at the Fermi level (states/eV/atom) = 0.894
- relative energy among the computed polymorphs (eV/atom) = 0.2602
- M_tot (μB per formula unit) = 0.00

Unit cell a=4.4319 b=4.4319 c=6.5552 alpha=90.00 beta=90.00 gamma=90.00
Fractional coordinates of all 4 atoms:
1 Sb 0.5000 0.5000 0.7916
2 Ca 0.5000 0.5000 0.2925
3 Ca 0.0000 0.0000 0.9453
4 Pb 0.0000 0.0000 0.4706


Entry 7:
LiNpBiPd: optimized geometry, PBE-GGA.

Properties
- calculated total energy (eV/atom) = -6.1371
- energy of formation from the pure elements (meV/atom) = -155
- V (A^3/atom) = 21.20
- density of states at the Fermi level (states/eV/atom) = 1.713
- M_tot (μB per formula unit) = 4.66

Unit cell a=4.9314 b=4.9314 c=4.9314 alpha=60.00 beta=60.00 gamma=60.00
Each line ends with the local moment (μB).
Fractional coordinates of all 4 atoms:
1 Pd 0.7500 0.7500 0.7500  -0.01
2 Bi 0.0000 0.0000 0.0000  -0.04
3 Li 0.2500 0.2500 0.2500  0.07
4 Np 0.5000 0.5000 0.5000  4.20


Entry 8:
K2RbGaAg: optimized geometry, PBE-GGA.

Properties
- calculated total energy (eV/atom) = -1.1381
- energy of formation from the pure elements (meV/atom) = 670
- V (A^3/atom) = 60.25
- density of states at the Fermi level (states/eV/atom) = 1.073
- relative energy among the computed polymorphs (eV/atom) = 0.5950
- M_tot (μB per formula unit) = 0.00

Unit cell a=7.1152 b=5.9506 c=7.1152 alpha=90.00 beta=90.00 gamma=90.00
Fractional coordinates of all 5 atoms:
1 K 0.0000 0.0000 0.5000
2 K 0.5000 0.0000 0.0000
3 Ag 0.0000 0.5000 0.0000
4 Ga 0.5000 0.5000 0.5000
5 Rb 0.0000 0.0000 0.0000


- The highest M_tot belongs to which entry?
  LiNpBiPd


Copy entry 2 word for word.
RbPaTaO6: optimized geometry, PBE-GGA.

Properties
- calculated total energy (eV/atom) = -8.5511
- V (A^3/atom) = 18.69
- formation energy without anion corrections (kcal/mol of atoms) = -63.79
- density of states at the Fermi level (states/eV/atom) = 0.693
- M_tot (μB per formula unit) = 0.76

Unit cell a=8.0288 b=7.6400 c=7.7970 alpha=119.34 beta=120.99 gamma=90.00
Each line ends with the local moment (μB).
Fractional coordinates of all 18 atoms:
1 O 0.8005 0.6712 0.2499  0.11
2 O 0.5506 0.9213 0.7501  0.11
3 O 0.4494 0.6712 0.2499  0.11
4 O 0.8229 0.0729 0.6458  0.13
5 O 0.5506 0.3288 0.7501  0.11
6 O 0.5475 0.2975 0.0949  0.09
7 O 0.1995 0.3288 0.7501  0.11
8 O 0.1771 0.9271 0.3542  0.13
9 O 0.4494 0.0787 0.2499  0.11
10 O 0.1995 0.9213 0.7501  0.11
11 O 0.4525 0.7025 0.9051  0.09
12 O 0.8005 0.0787 0.2499  0.11
13 Ta 0.5000 0.5000 0.0000  -0.03
14 Ta 0.5000 0.0000 0.0000  -0.03
15 Pa 0.0000 0.0000 0.5000  0.03
16 Pa 0.5000 0.0000 0.5000  0.03
17 Rb 0.1604 0.4104 0.3209  0.00
18 Rb 0.8396 0.5896 0.6791  0.00